(1)
The following is a GGA-PBE calculation of a relaxed structure of Pr5H12Ru2, from Alexandria.

Unit cell a=6.510 b=6.510 c=7.525 alpha=102.98 beta=102.98 gamma=53.71
Element x y z (fractional)
Pr1 0.000 0.000 0.000
Pr2 0.301 0.301 0.658
Pr3 0.339 0.339 0.147
Pr4 0.661 0.661 0.853
Pr5 0.699 0.699 0.342
H1 0.010 0.010 0.351
H2 0.067 0.591 0.903
H3 0.116 0.577 0.418
H4 0.409 0.933 0.097
H5 0.423 0.884 0.582
H6 0.491 0.491 0.626
H7 0.509 0.509 0.374
H8 0.577 0.116 0.418
H9 0.591 0.067 0.903
H10 0.884 0.423 0.582
H11 0.933 0.409 0.097
H12 0.990 0.990 0.649
Ru1 0.240 0.760 0.500
Ru2 0.760 0.240 0.500

**Spin magnetization**: 0.0 μB/f.u.
**Calculated total energy**: -0.1747 hartree per atom
**DOS at the Fermi energy**: 7.1 states/eV/cell

***

(2)
The following is a GGA-PBE calculation of a relaxed structure of MnInCl, from Alexandria.

Unit cell a=4.786 b=4.786 c=4.786 alpha=60.00 beta=60.00 gamma=60.00
Element x y z (fractional)
Mn1 0.000 0.000 0.000
In1 0.750 0.750 0.750
Cl1 0.250 0.250 0.250

**Spin magnetization**: 4.3 μB/f.u.
**DOS at the Fermi energy**: 4.3 states/eV/cell
**Raw formation energy**: 0.31 eV/atom

***

(3)
The following is a GGA-PBE calculation of a relaxed structure of Hg2Se, from Alexandria.

Unit cell a=4.360 b=4.360 c=4.275 alpha=90.00 beta=90.00 gamma=90.00
Element x y z (fractional)
Hg1 0.000 0.500 0.000
Hg2 0.500 0.000 0.000
Se1 0.000 0.000 0.500

**Spin magnetization**: 0.0 μB/f.u.
**DOS at the Fermi energy**: 1.3 states/eV/cell
**Raw formation energy**: 0.13 eV/atom
**Energy relative to the lowest polymorph listed for this composition**: 225 meV/atom

***

(4)
The following is a GGA-PBE calculation of a relaxed structure of Pr2HoScTe4, from Alexandria.

Unit cell a=7.519 b=4.318 c=7.802 alpha=90.00 beta=108.56 gamma=90.00
Element x y z (fractional)
Pr1 0.000 0.000 0.000
Pr2 0.500 0.500 0.000
Ho1 0.000 0.500 0.500
Sc1 0.500 0.000 0.500
Te1 0.249 0.000 0.730
Te2 0.265 0.500 0.275
Te3 0.735 0.500 0.725
Te4 0.751 0.000 0.270

**Spin magnetization**: 0.0 μB/f.u.
**DOS at the Fermi energy**: 4.6 states/eV/cell
**Raw formation energy**: -1.30 eV/atom